# 1
PmDy2Y6Sc: relaxed, GGA-PBE.

a b c (Å): 8.7439 9.1501 9.1501
angles (deg): 119.15 91.07 91.07
Sites, in units of the cell vectors:
Y 0.9089 0.2658 0.5248
Y 0.2934 0.0472 0.4597
Y 0.2066 0.5403 0.9528
Y 0.0911 0.7342 0.4752
Y 0.5911 0.4752 0.7342
Y 0.0518 0.1325 0.7919
Y 0.5518 0.7919 0.1325
Dy 0.9434 0.6791 0.7888
Pm 0.2500 0.9675 0.0325
Dy 0.5566 0.2112 0.3209
Pm 0.7500 0.0325 0.9675
Y 0.7066 0.9528 0.5403
Sc 0.2500 0.4440 0.5560
Y 0.9482 0.8675 0.2081
Dy 0.4434 0.7888 0.6791
Y 0.4482 0.2081 0.8675
Y 0.7934 0.4597 0.0472
Sc 0.7500 0.5560 0.4440
Y 0.4089 0.5248 0.2658
Dy 0.0566 0.3209 0.2112

Calculated values
symmetry	No. 15
energy of formation from the pure elements	1.2	eV per formula unit

***

# 2
BaSr2TcSe: relaxed, GGA-PBE.

a b c (Å): 5.8237 6.2839 5.8237
angles (deg): 90.00 90.00 90.00
Each line ends with the local moment (μB).
Sites, in units of the cell vectors:
Ba 0.0000 0.5000 0.0000  -0.10
Tc 0.5000 0.5000 0.5000  3.05
Sr 0.0000 0.0000 0.5000  -0.05
Se 0.0000 0.0000 0.0000  -0.01
Sr 0.5000 0.0000 0.0000  -0.06

Calculated values
symmetry	No. 123
raw formation energy	0.133	eV/atom

***

Ρ values (in Mg/m³) by entry order: 5.4, 3.8.